{
  "formula": "FeClF3",
  "functional": "PBE with a Hubbard U",
  "state": "relaxed",
  "de_polymorph_mev_per_atom": 0,
  "energy_ev_per_atom": -4.254,
  "volume_a3_per_atom": 16.96,
  "lattice": [[-1.4885, -2.8386, 3.8752], [-4.3006, -2.7078, -3.6396], [3.1868, -4.0332, -1.7290]],
  "species": ["F", "F", "F", "F", "F", "F", "Cl", "Cl", "Fe", "Fe"],
  "frac_coords": [[0.4772, 0.3957, 0.2710], [0.9158, 0.5813, 0.9570], [0.4317, 0.7851, 0.4467], [0.9769, 0.9570, 0.6307], [0.4158, 0.7712, 0.9445], [0.9316, 0.5676, 0.4548], [0.8905, 0.0218, 0.1977], [0.3902, 0.3312, 0.7037], [0.1632, 0.6905, 0.6935], [0.6634, 0.6625, 0.2080]]
}